(1)
! PBE Li4PtAu3, relaxed; values from VASP
! * DFT formation energy: -0.540 eV per atom
&SYSTEM
  ibrav = 0, nat = 8, ntyp = 3
/
ATOMIC_SPECIES
Pt 195.08 Pt.upf
Au 196.97 Au.upf
Li 6.94 Li.upf
CELL_PARAMETERS angstrom
-1.355 2.355 -2.963
3.066 -1.155 -2.330
-4.930 -6.196 0.079
ATOMIC_POSITIONS angstrom
Pt -0.678 1.177 -1.482
Au -2.702 -1.603 -2.757
Li -0.119 -0.738 -3.257
Li -3.101 -4.258 -1.957
Au 1.533 -0.577 -1.165
Li -2.245 -3.659 -4.603
Li -0.974 -1.337 -0.611
Au -0.517 -3.393 -2.457


(2)
! PBE Tl2As2H, relaxed; values from VASP
! * total DFT energy (no corrections): -33.38 eV/cell
&SYSTEM
  ibrav = 0, nat = 10, ntyp = 3
/
ATOMIC_SPECIES
Tl 204.38 Tl.upf
As 74.92 As.upf
H 1.01 H.upf
CELL_PARAMETERS angstrom
-0.177 -1.920 -5.776
-6.244 -1.225 3.809
-8.087 3.508 -0.918
ATOMIC_POSITIONS angstrom
Tl -7.804 1.892 -2.195
As -6.420 1.178 0.492
As -12.094 1.349 -2.601
Tl -10.671 1.064 1.377
H -2.049 0.583 -1.114
H -6.215 1.005 -5.580
Tl -3.837 -0.702 -4.263
As -2.414 -0.987 -0.285
Tl -6.705 -1.530 -0.690
As -8.088 -0.815 -3.378


(3)
! PBE PmNd4Dy2, relaxed; values from VASP
! * DFT formation energy: 0.060 eV per atom
! * energy above the most stable polymorph in this dataset: 0 meV/atom
&SYSTEM
  ibrav = 0, nat = 14, ntyp = 3
/
ATOMIC_SPECIES
Nd 144.24 Nd.upf
Pm 145.00 Pm.upf
Dy 162.50 Dy.upf
CELL_PARAMETERS angstrom
-2.968 12.073 -2.256
5.032 -10.945 -3.810
-6.410 -2.288 0.885
ATOMIC_POSITIONS angstrom
Nd -3.225 -2.511 -0.089
Pm -1.070 -3.403 -3.079
Dy -2.536 9.882 -2.441
Nd -2.988 -0.366 -2.913
Nd -6.813 4.690 -1.531
Nd 0.688 -6.526 -2.809
Dy -3.193 3.158 -2.172
Dy -3.852 -5.309 -2.224
Nd 0.511 -0.068 -3.413
Nd -2.340 -8.504 -2.642
Nd -3.996 6.625 -2.141
Pm -6.276 1.210 -2.248
Nd -0.882 1.114 -0.364
Dy 0.806 -10.098 -3.270


(4)
! PBE CaPb2Br, relaxed; values from VASP
! * formation energy without anion corrections: -0.375 eV/atom
! * energy above the most stable polymorph in this dataset: 358 meV/atom
&SYSTEM
  ibrav = 0, nat = 4, ntyp = 3
/
ATOMIC_SPECIES
Br 79.90 Br.upf
Ca 40.08 Ca.upf
Pb 207.20 Pb.upf
CELL_PARAMETERS angstrom
5.838 0.000 0.000
0.000 5.838 0.000
0.000 0.000 3.558
ATOMIC_POSITIONS angstrom
Br 2.919 0.000 1.779
Ca 0.000 2.919 1.779
Pb 0.000 0.000 0.000
Pb 2.919 2.919 0.000


(5)
! PBE RbSr2La, relaxed; values from VASP
! * DFT formation energy: 0.167 eV per atom
! * energy above the most stable polymorph in this dataset: 0 meV/atom
&SYSTEM
  ibrav = 0, nat = 4, ntyp = 3
/
ATOMIC_SPECIES
Sr 87.62 Sr.upf
Rb 85.47 Rb.upf
La 138.91 La.upf
CELL_PARAMETERS angstrom
-0.700 -0.880 3.967
-0.651 -3.949 -0.991
12.520 -2.481 1.659
ATOMIC_POSITIONS angstrom
Sr 9.891 -1.960 1.311
Sr 2.629 -0.521 0.348
Rb 5.584 -3.655 2.318
La -0.676 -2.414 1.488


(6)
! PBE AsWCl2, relaxed; values from VASP
! * formation energy without anion corrections: 1.040 eV/atom
! * energy above the most stable polymorph in this dataset: 1292 meV/atom
&SYSTEM
  ibrav = 0, nat = 4, ntyp = 3
/
ATOMIC_SPECIES
Cl 35.45 Cl.upf
As 74.92 As.upf
W 183.84 W.upf
CELL_PARAMETERS angstrom
-3.038 3.719 1.902
1.533 -3.355 3.616
2.314 1.622 0.524
ATOMIC_POSITIONS angstrom
Cl -0.752 0.182 2.759
As 1.923 -0.866 2.070
Cl 0.000 0.000 0.000
W -0.362 2.671 1.213


(7)
! PBE LiFeTcRu, relaxed; values from VASP
! * DFT formation energy: 0.182 eV per atom
&SYSTEM
  ibrav = 0, nat = 4, ntyp = 4
/
ATOMIC_SPECIES
Li 6.94 Li.upf
Tc 98.00 Tc.upf
Fe 55.84 Fe.upf
Ru 101.07 Ru.upf
CELL_PARAMETERS angstrom
-1.957 0.275 3.642
1.834 -1.385 3.447
1.322 2.685 2.865
ATOMIC_POSITIONS angstrom
Li 0.000 0.000 0.000
Tc 0.600 0.787 4.977
Fe 0.899 1.181 7.466
Ru 0.300 0.394 2.489


(8)
! PBE Nd6SmYHo2, relaxed; values from VASP
! * DFT formation energy: 0.112 eV per atom
&SYSTEM
  ibrav = 0, nat = 20, ntyp = 4
/
ATOMIC_SPECIES
Nd 144.24 Nd.upf
Sm 150.36 Sm.upf
Ho 164.93 Ho.upf
Y 88.91 Y.upf
CELL_PARAMETERS angstrom
-7.853 5.731 0.418
-3.035 -4.695 -7.016
-1.298 -3.422 8.190
ATOMIC_POSITIONS angstrom
Nd -6.039 -4.323 -3.223
Sm -4.951 -3.227 -6.494
Sm -7.236 0.841 8.086
Ho -1.526 -1.824 -0.433
Y -8.214 0.125 -0.475
Y -3.973 -2.511 2.066
Ho -5.283 1.166 1.266
Ho -10.660 -0.562 2.025
Nd -4.917 -1.217 -1.015
Nd -6.147 1.937 4.815
Nd -8.468 1.924 2.485
Nd -10.424 0.438 -3.835
Nd -6.806 -0.778 -4.146
Nd -3.719 -4.310 -0.893
Nd -5.380 -1.608 5.738
Nd -7.270 -1.169 2.607
Nd -3.178 -1.629 -3.776
Ho -6.904 -3.552 0.326
Nd -9.008 -0.757 5.368
Nd -1.762 -2.824 5.427


(9)
! PBE KLa2Re, relaxed; values from VASP
! * DFT formation energy: 0.355 eV per atom
! * energy above the most stable polymorph in this dataset: 105 meV/atom
&SYSTEM
  ibrav = 0, nat = 4, ntyp = 3
/
ATOMIC_SPECIES
La 138.91 La.upf
Re 186.21 Re.upf
K 39.10 K.upf
CELL_PARAMETERS angstrom
-1.129 3.847 -1.542
-3.635 1.792 1.424
3.549 6.441 7.461
ATOMIC_POSITIONS angstrom
La -1.586 8.357 4.450
Re 0.588 7.352 5.590
K -0.337 2.993 1.789
La 3.062 5.858 6.645


(10)
! PBE SrLi2Ti6O14, relaxed; values from VASP
! * formation energy without anion corrections: -2.968 eV/atom
&SYSTEM
  ibrav = 0, nat = 92, ntyp = 4
/
ATOMIC_SPECIES
Sr 87.62 Sr.upf
O 16.00 O.upf
Ti 47.87 Ti.upf
Li 6.94 Li.upf
CELL_PARAMETERS angstrom
10.092 0.002 0.000
-3.781 9.357 0.000
0.000 0.000 11.555
ATOMIC_POSITIONS angstrom
Sr 5.386 7.988 7.176
O 3.257 8.054 8.767
O 1.294 5.876 8.666
O 3.055 1.306 2.788
O -1.974 8.079 8.667
Ti 2.400 6.776 4.449
O -1.993 8.152 5.778
Ti 6.478 2.439 0.000
O 5.743 8.516 10.009
O 3.725 5.523 4.231
Ti -0.756 2.097 1.328
O 6.246 6.038 8.767
Ti -0.357 6.953 8.666
O 6.128 1.120 4.296
O 7.183 3.551 4.371
Ti 7.019 7.158 4.155
O -1.258 6.101 4.296
O 0.569 0.844 1.547
Ti 4.006 9.190 4.155
O 0.633 7.936 10.074
O 6.210 5.985 2.990
Ti 4.084 9.274 10.227
O 3.224 8.005 11.357
O 8.230 1.198 8.667
O 6.213 5.989 11.357
Ti 2.448 6.881 9.932
O -1.941 8.117 0.000
Ti 0.929 4.595 7.106
Li 2.117 8.714 7.183
Sr 4.081 6.052 1.398
O 5.712 1.369 7.184
Li -1.039 4.035 10.150
O 1.368 5.885 0.000
O 5.018 3.484 2.890
O 3.058 1.309 5.976
Ti 3.863 2.479 1.623
O 2.587 3.836 7.324
Li 2.182 8.811 1.405
O 7.570 3.258 7.259
O 4.944 3.474 0.000
Ti 6.580 2.275 8.666
O 6.064 1.131 10.148
O 0.184 8.239 7.259
O 8.304 1.208 5.778
O -1.225 6.046 10.148
O 0.098 3.370 0.198
Ti 6.668 2.407 2.889
O 7.120 3.562 10.074
Ti -0.458 7.117 5.778
O 3.682 5.460 10.136
O 5.785 8.579 4.359
Ti 2.306 0.169 7.400
Ti 5.383 4.765 4.449
O 7.536 3.313 1.407
O 0.527 0.781 7.196
Ti 7.067 7.263 10.227
O 2.629 3.899 1.419
Ti -0.167 6.920 0.000
O 0.101 3.374 8.565
Li 7.351 5.325 1.405
O -0.872 5.808 7.184
O -1.919 8.161 2.888
O 0.066 3.321 2.788
O 3.088 1.354 0.198
O 0.068 3.325 5.976
Sr 0.925 1.372 4.379
Li 7.286 5.229 7.183
O 5.678 1.423 1.482
Sr 2.231 3.308 10.157
Li -0.974 4.131 4.373
Ti 0.850 4.511 1.623
O 1.349 5.958 2.890
Li 4.130 0.549 10.150
O 0.600 7.991 4.371
Ti -0.707 2.201 7.400
Li 4.195 0.645 4.373
O 4.962 3.402 8.666
O 8.252 1.243 0.000
O 4.995 3.439 5.778
O 0.247 8.229 1.407
O 3.254 8.050 5.579
O 1.316 5.920 5.778
O 3.090 1.358 8.565
O -0.809 5.798 1.482
Ti 3.912 2.583 7.106
O 8.285 1.280 2.888
Ti 5.462 4.849 9.932
Ti 2.227 0.085 1.328
Ti -0.268 7.084 2.889
O 3.221 8.001 2.990
O 6.244 6.034 5.579
Ti 6.770 2.243 5.778


(11)
! PBE BaZr2ScIr, relaxed; values from VASP
! * DFT formation energy: -0.013 eV per atom
&SYSTEM
  ibrav = 0, nat = 5, ntyp = 4
/
ATOMIC_SPECIES
Sc 44.96 Sc.upf
Ba 137.33 Ba.upf
Zr 91.22 Zr.upf
Ir 192.22 Ir.upf
CELL_PARAMETERS angstrom
5.236 0.000 0.000
0.000 5.238 0.000
0.000 0.000 5.236
ATOMIC_POSITIONS angstrom
Sc 0.000 2.619 0.000
Ba 2.618 2.619 2.618
Zr 0.000 0.000 2.618
Ir 0.000 0.000 0.000
Zr 2.618 0.000 0.000


(12)
! PBE HfGaAu, relaxed; values from VASP
! * DFT formation energy: -0.360 eV per atom
&SYSTEM
  ibrav = 0, nat = 6, ntyp = 3
/
ATOMIC_SPECIES
Hf 178.49 Hf.upf
Au 196.97 Au.upf
Ga 69.72 Ga.upf
CELL_PARAMETERS angstrom
-1.268 -1.939 3.372
1.538 -4.304 -1.896
5.254 2.642 1.014
ATOMIC_POSITIONS angstrom
Hf 4.076 -2.686 2.470
Au 1.204 -4.081 0.588
Hf 1.449 -0.915 0.019
Ga 2.157 -0.820 2.822
Ga 3.367 -2.782 -0.333
Au 4.320 0.480 1.901